1.
Computed, not measured: a relaxed Re3TcOs crystal at the PBE-GGA level of DFT.

Cell: 4.663 4.663 4.663 Å, 90.00 90.00 90.00°
Space group Pm-3m (No. 221)
One atom of each set of equivalent atoms:
Re: 0.000 0.000 0.500 x3
Tc: 0.500 0.500 0.500 x1
Os: 0.000 0.000 0.000 x1

Computed properties:
excess energy over the best structure of this formula in the dataset = 2344 meV per atom
DFT formation energy = 2399 meV per atom

=====

2.
Computed, not measured: a relaxed In4Sn2Bi crystal at the PBE-GGA level of DFT.

Cell: 3.4440 3.4440 57.4357 Å, 90.00 90.00 120.00°
Space group R-3m (No. 166, hexagonal axes)
One atom of each set of equivalent atoms:
In: 0.0000 0.0000 0.1434 x6
In: 0.0000 0.0000 0.2836 x6
Sn: 0.0000 0.0000 0.4298 x6
Bi: 0.0000 0.0000 0.0000 x3

Computed properties:
DFT formation energy = 47 meV per atom

=====

3.
Computed, not measured: a relaxed CaDy crystal at the PBE-GGA level of DFT.

Cell: 4.130 4.130 4.130 Å, 90.00 90.00 90.00°
Space group Pm-3m (No. 221)
One atom of each set of equivalent atoms:
Ca: 0.000 0.000 0.000 x1
Dy: 0.500 0.500 0.500 x1

Computed properties:
excess energy over the best structure of this formula in the dataset = 138 meV per atom
DFT formation energy = 191 meV per atom

=====

4.
Computed, not measured: a relaxed CaPu3Tl4 crystal at the PBE-GGA level of DFT.

Cell: 7.718 7.718 7.718 Å, 90.00 90.00 90.00°
Space group Im-3m (No. 229)
One atom of each set of equivalent atoms:
Ca: 0.000 0.000 0.000 x2
Pu: 0.000 0.000 0.500 x6
Tl: 0.250 0.250 0.250 x8

Computed properties:
DFT formation energy = -65 meV per atom

=====

Final energy for every record listed, in sequence, given in eV/atom: -9.39 -3.22 -3.11 -6.87.